1.
{"formula": "PmMg2Sn3", "functional": "PBE", "state": "relaxed", "cell": [[2.3661, -7.2297, 0.0000], [2.3661, 7.2297, 0.0000], [0.0000, 0.0000, 4.4082]], "species": ["Pm", "Mg", "Mg", "Sn", "Sn", "Sn"], "fractional_positions": [[0.0000, 0.0000, 0.0000], [0.3287, 0.6713, 0.0000], [0.6713, 0.3287, 0.0000], [0.1716, 0.8284, 0.5000], [0.5000, 0.5000, 0.5000], [0.8284, 0.1716, 0.5000]], "formation_energy_mev_per_atom": -392, "volume_a3_per_atom": 25.1, "sg": "Cmmm, No. 65", "final_energy_ev_per_cell": -22.30}

2.
{"formula": "Pm2MgSn9", "functional": "PBE", "state": "relaxed", "cell": [[4.6653, 0.0000, 0.0000], [0.0000, 4.6653, 0.0000], [0.0000, 0.0000, 14.6999]], "species": ["Pm", "Pm", "Mg", "Sn", "Sn", "Sn", "Sn", "Sn", "Sn", "Sn", "Sn", "Sn"], "fractional_positions": [[0.0000, 0.0000, 0.1616], [0.0000, 0.0000, 0.8384], [0.0000, 0.0000, 0.5000], [0.0000, 0.5000, 0.0000], [0.0000, 0.5000, 0.3390], [0.0000, 0.5000, 0.6610], [0.5000, 0.0000, 0.0000], [0.5000, 0.0000, 0.3390], [0.5000, 0.0000, 0.6610], [0.5000, 0.5000, 0.1724], [0.5000, 0.5000, 0.5000], [0.5000, 0.5000, 0.8276]], "formation_energy_mev_per_atom": -334, "volume_a3_per_atom": 26.7, "sg": "P4/mmm, No. 123", "final_energy_ev_per_cell": -51.13}

3.
{"formula": "Pm3Mg7Sn4", "functional": "PBE", "state": "relaxed", "cell": [[8.6186, -2.3048, 0.0000], [8.6186, 2.3048, 0.0000], [-6.2696, 0.0000, 8.9332]], "species": ["Pm", "Pm", "Pm", "Mg", "Mg", "Mg", "Mg", "Mg", "Mg", "Mg", "Sn", "Sn", "Sn", "Sn"], "fractional_positions": [[0.0000, 0.0000, 0.0000], [0.3086, 0.3086, 0.3003], [0.6914, 0.6914, 0.6997], [0.0000, 0.0000, 0.5000], [0.1599, 0.1599, 0.4367], [0.3216, 0.3216, 0.9814], [0.4870, 0.4870, 0.6799], [0.5130, 0.5130, 0.3201], [0.6784, 0.6784, 0.0186], [0.8401, 0.8401, 0.5633], [0.1161, 0.1161, 0.8339], [0.3473, 0.3473, 0.7447], [0.6527, 0.6527, 0.2553], [0.8839, 0.8839, 0.1661]], "formation_energy_mev_per_atom": -412, "volume_a3_per_atom": 25.4, "sg": "C2/m, No. 12", "final_energy_ev_per_cell": -47.19}

4.
{"formula": "PmMg6Sn6", "functional": "PBE", "state": "relaxed", "cell": [[-3.1701, 4.7137, 5.4205], [3.1701, -4.7137, 5.4205], [3.1701, 4.7137, -5.4205]], "species": ["Pm", "Mg", "Mg", "Mg", "Mg", "Mg", "Mg", "Sn", "Sn", "Sn", "Sn", "Sn", "Sn"], "fractional_positions": [[0.0000, 0.0000, 0.0000], [0.0000, 0.0000, 0.5000], [0.0000, 0.5000, 0.0000], [0.2802, 0.5000, 0.7802], [0.5000, 0.0000, 0.0000], [0.5000, 0.5000, 0.5000], [0.7198, 0.5000, 0.2198], [0.1437, 0.6437, 0.5000], [0.3057, 0.3057, 0.0000], [0.3454, 0.0000, 0.3454], [0.6546, 0.0000, 0.6546], [0.6943, 0.6943, 0.0000], [0.8563, 0.3563, 0.5000]], "formation_energy_mev_per_atom": -201, "de_polymorph_mev_per_atom": 0, "volume_a3_per_atom": 24.9, "sg": "Immm, No. 71", "final_energy_ev_per_cell": -40.95}

5.
{"formula": "Pm3Mg2Sn", "functional": "PBE", "state": "relaxed", "cell": [[2.5769, -7.7685, 0.0000], [2.5769, 7.7685, 0.0000], [0.0000, 0.0000, 4.2682]], "species": ["Pm", "Pm", "Pm", "Mg", "Mg", "Sn"], "fractional_positions": [[0.0000, 0.0000, 0.0000], [0.3370, 0.6630, 0.0000], [0.6630, 0.3370, 0.0000], [0.1727, 0.8273, 0.5000], [0.8273, 0.1727, 0.5000], [0.5000, 0.5000, 0.5000]], "formation_energy_mev_per_atom": -338, "volume_a3_per_atom": 28.5, "sg": "Cmmm, No. 65", "final_energy_ev_per_cell": -23.47}

6.
{"formula": "Pm6MgSn5", "functional": "PBE", "state": "relaxed", "cell": [[5.7385, 0.0000, 0.0000], [-0.0023, 6.9685, 0.0000], [-1.0315, -3.4581, 8.4466]], "species": ["Pm", "Pm", "Pm", "Pm", "Pm", "Pm", "Mg", "Sn", "Sn", "Sn", "Sn", "Sn"], "fractional_positions": [[0.0001, 0.2463, 0.0002], [0.9999, 0.7537, 0.9998], [0.3055, 0.0770, 0.6548], [0.3050, 0.5806, 0.6547], [0.6950, 0.4194, 0.3453], [0.6945, 0.9230, 0.3452], [0.5000, 0.5000, 0.0000], [0.1926, 0.1592, 0.3199], [0.2000, 0.6563, 0.3136], [0.5000, 0.0000, 0.0000], [0.8000, 0.3437, 0.6864], [0.8074, 0.8408, 0.6801]], "formation_energy_mev_per_atom": -604, "volume_a3_per_atom": 28.1, "sg": "P-1, No. 2", "final_energy_ev_per_cell": -57.36}

7.
{"formula": "Pm5MgSn6", "functional": "PBE", "state": "relaxed", "cell": [[-2.4079, 4.5330, 7.5552], [2.4079, -4.5330, 7.5552], [2.4079, 4.5330, -7.5552]], "species": ["Pm", "Pm", "Pm", "Pm", "Pm", "Mg", "Sn", "Sn", "Sn", "Sn", "Sn", "Sn"], "fractional_positions": [[0.0000, 0.0000, 0.0000], [0.1672, 0.6672, 0.5000], [0.3495, 0.3495, 0.0000], [0.6505, 0.6505, 0.0000], [0.8328, 0.3328, 0.5000], [0.5000, 0.0000, 0.5000], [0.0805, 0.8310, 0.2495], [0.2484, 0.5000, 0.7484], [0.4186, 0.1690, 0.2495], [0.5814, 0.8310, 0.7505], [0.7516, 0.5000, 0.2516], [0.9195, 0.1690, 0.7505]], "formation_energy_mev_per_atom": -615, "volume_a3_per_atom": 27.5, "sg": "Immm, No. 71", "final_energy_ev_per_cell": -56.75}

8.
{"formula": "PmMg4Sn2", "functional": "PBE", "state": "relaxed", "cell": [[8.7004, 0.0000, 0.0000], [0.0000, 8.7004, 0.0000], [0.0000, 0.0000, 4.6058]], "species": ["Pm", "Pm", "Mg", "Mg", "Mg", "Mg", "Mg", "Mg", "Mg", "Mg", "Sn", "Sn", "Sn", "Sn"], "fractional_positions": [[0.0000, 0.0000, 0.0000], [0.5000, 0.5000, 0.5000], [0.0974, 0.3519, 0.5000], [0.1481, 0.5974, 0.0000], [0.3519, 0.0974, 0.5000], [0.4026, 0.8519, 0.0000], [0.5974, 0.1481, 0.0000], [0.6481, 0.9026, 0.5000], [0.8519, 0.4026, 0.0000], [0.9026, 0.6481, 0.5000], [0.2002, 0.7998, 0.5000], [0.2998, 0.2998, 0.0000], [0.7002, 0.7002, 0.0000], [0.7998, 0.2002, 0.5000]], "formation_energy_mev_per_atom": -314, "volume_a3_per_atom": 24.9, "sg": "P4_2/mnm, No. 136", "final_energy_ev_per_cell": -42.67}

9.
{"formula": "PmMg2Sn", "functional": "PBE", "state": "relaxed", "cell": [[0.0000, 3.6828, 3.6828], [3.6828, 0.0000, 3.6828], [3.6828, 3.6828, 0.0000]], "species": ["Pm", "Mg", "Mg", "Sn"], "fractional_positions": [[0.0000, 0.0000, 0.0000], [0.2500, 0.2500, 0.2500], [0.7500, 0.7500, 0.7500], [0.5000, 0.5000, 0.5000]], "formation_energy_mev_per_atom": -125, "de_polymorph_mev_per_atom": 314, "volume_a3_per_atom": 25.0, "sg": "Fm-3m, No. 225", "final_energy_ev_per_cell": -12.44}

10.
{"formula": "PmMg5Sn6", "functional": "PBE", "state": "relaxed", "cell": [[4.7799, -5.0936, 0.0000], [4.7799, 5.0936, 0.0000], [-1.1750, 0.0000, 6.2555]], "species": ["Pm", "Mg", "Mg", "Mg", "Mg", "Mg", "Sn", "Sn", "Sn", "Sn", "Sn", "Sn"], "fractional_positions": [[0.0000, 0.0000, 0.0000], [0.1620, 0.8380, 0.5000], [0.3406, 0.6594, 0.0000], [0.5000, 0.5000, 0.5000], [0.6594, 0.3406, 0.0000], [0.8380, 0.1620, 0.5000], [0.0843, 0.4314, 0.2667], [0.2564, 0.2564, 0.7405], [0.4314, 0.0843, 0.2667], [0.5686, 0.9157, 0.7333], [0.7436, 0.7436, 0.2595], [0.9157, 0.5686, 0.7333]], "formation_energy_mev_per_atom": -195, "volume_a3_per_atom": 25.4, "sg": "C2/m, No. 12", "final_energy_ev_per_cell": -39.08}

11.
{"formula": "Pm3Mg2Sn2", "functional": "PBE", "state": "relaxed", "cell": [[5.5615, -2.2545, 0.0000], [5.5615, 2.2545, 0.0000], [-1.7617, 0.0000, 7.8208]], "species": ["Pm", "Pm", "Pm", "Mg", "Mg", "Sn", "Sn"], "fractional_positions": [[0.0000, 0.0000, 0.0000], [0.1297, 0.1297, 0.4418], [0.8703, 0.8703, 0.5582], [0.3789, 0.3789, 0.2412], [0.6211, 0.6211, 0.7588], [0.3052, 0.3052, 0.8257], [0.6948, 0.6948, 0.1743]], "formation_energy_mev_per_atom": -340, "volume_a3_per_atom": 28.0, "sg": "C2/m, No. 12", "final_energy_ev_per_cell": -27.83}

12.
{"formula": "Pm2Mg3Sn2", "functional": "PBE", "state": "relaxed", "cell": [[5.6571, -2.2896, 0.0000], [5.6571, 2.2896, 0.0000], [-1.0732, 0.0000, 7.3064]], "species": ["Pm", "Pm", "Mg", "Mg", "Mg", "Sn", "Sn"], "fractional_positions": [[0.1184, 0.1184, 0.3449], [0.8816, 0.8816, 0.6551], [0.1942, 0.1942, 0.8756], [0.5000, 0.5000, 0.0000], [0.8058, 0.8058, 0.1244], [0.4009, 0.4009, 0.3484], [0.5991, 0.5991, 0.6516]], "formation_energy_mev_per_atom": -411, "volume_a3_per_atom": 27.0, "sg": "C2/m, No. 12", "final_energy_ev_per_cell": -25.17}

Spin magnetization? In order: 0.000; 0.000; 0.000; 0.000; 0.000; 0.000; 0.000; 0.000; 0.000; 0.000; 0.000; 0.000 μB/atom.